VASP calculation (PBE-GGA) on a geometry-optimized HoEr3Ag2 structure.

Cell lengths 8.5827, 8.5827, 8.5827 Å; angles 131.90, 72.33, 129.47 degrees
With the nearest neighbours (Å) after each atom.
Fractional coordinates of all 12 atoms:
Ho 0.0000 0.0000 0.0000  2 Ag 2.87
Ho 0.5000 0.5000 0.0000  2 Ag 2.87
Er 0.0215 0.2500 0.7715  4 Ag 2.92-3.03
Er 0.2500 0.7500 0.5000  4 Ag 3.04
Er 0.4785 0.2500 0.2285  4 Ag 2.92-3.03
Er 0.5215 0.7500 0.7715  4 Ag 2.92-3.03
Er 0.7500 0.2500 0.5000  4 Ag 3.04
Er 0.9785 0.7500 0.2285  4 Ag 2.92-3.03
Ag 0.1421 0.7011 0.8432  1 Ho 2.87, 6 Er 2.92-3.04
Ag 0.3579 0.2011 0.5589  1 Ho 2.87, 6 Er 2.92-3.04
Ag 0.6421 0.7989 0.4411  1 Ho 2.87, 6 Er 2.92-3.04
Ag 0.8579 0.2989 0.1568  1 Ho 2.87, 6 Er 2.92-3.04

## Properties
Density of states at the Fermi level: 1.216 states/eV/atom
Magnetic moment: 0.002 μB per cell
Space group: Ibam (72)
Energy relative to the lowest polymorph listed for this composition: 1.40 eV per formula unit

***

VASP calculation (PBE-GGA) on a geometry-optimized SrPrEr2Se4 structure.

Cell lengths 7.2438, 4.1427, 7.2893 Å; angles 90.00, 108.89, 90.00 degrees
With the nearest neighbours (Å) after each atom.
Fractional coordinates of all 8 atoms:
Sr 0.0000 0.0000 0.0000  6 Se 3.04-3.05
Pr 0.5000 0.5000 0.0000  6 Se 3.04
Er 0.0000 0.5000 0.5000  6 Se 2.88
Er 0.5000 0.0000 0.5000  6 Se 2.87-2.88
Se 0.2433 0.0000 0.7294  3 Er 2.88, 1 Sr 3.04, 2 Pr 3.04
Se 0.2578 0.5000 0.2716  3 Er 2.87-2.88, 1 Pr 3.04, 2 Sr 3.05
Se 0.7422 0.5000 0.7284  3 Er 2.87-2.88, 1 Pr 3.04, 2 Sr 3.05
Se 0.7567 0.0000 0.2706  3 Er 2.88, 1 Sr 3.04, 2 Pr 3.04

## Properties
Density of states at the Fermi level: 0.412 states/eV/atom
Magnetic moment: 0.000 μB per cell
Space group: P2/m (10)
Uncorrected formation energy: -1395.5 kJ/mol of formula units